[1]
This record from Alexandria describes Zr4SiCl after structural relaxation. The functional is GGA-PBE.

```
Zr4SiCl
1.0
-5.3335 0.7471 1.9897
-4.2654 1.2702 -3.6271
-4.0596 -3.8980 -1.1351
Si Cl Zr
1 1 4
Direct
0.0000 0.0000 0.0000
0.7500 0.7500 0.7500
0.3730 0.3730 0.8811
0.8811 0.3730 0.3730
0.3730 0.3730 0.3730
0.3730 0.8811 0.3730
```

Values from the calculation:
As for the space group: F-43m (216). For the total energy, the calculation gives -6.514 eV per atom. The total moment comes out at 0.000 μB per atom. The formation energy from raw total energies is 0.40 eV/atom.

---

[2]
This record from Alexandria describes Mg2InAg after structural relaxation. The functional is GGA-PBE.

```
Mg2InAg
1.0
9.8346 -0.0194 -0.0114
9.3090 3.1721 -0.0114
9.3090 1.5331 2.7771
Mg Ag In
2 1 1
Direct
0.2435 0.2435 0.2435
0.0013 0.0013 0.0013
0.5017 0.5017 0.5017
0.7535 0.7535 0.7535
```

Values from the calculation:
As for the space group: R3m (160). For the total energy, the calculation gives -2.244 eV per atom. The total moment comes out at 0.000 μB per atom. The formation energy comes out at -0.049 eV/atom.

---

[3]
This record from Alexandria describes NaTa2V after structural relaxation. The functional is GGA-PBE.

```
NaTa2V
1.0
-0.2319 3.0120 3.4757
-1.2099 4.3678 -0.8152
-4.0914 1.5603 1.4255
Ta V Na
2 1 1
Direct
0.7500 0.7500 0.7500
0.2500 0.2500 0.2500
0.5000 0.5000 0.5000
0.0000 0.0000 0.0000
```

Values from the calculation:
As for the space group: Fm-3m (225). For the total energy, the calculation gives -7.669 eV per atom. The total moment comes out at 0.050 μB per atom. The polymorph energy (0 for the lowest one) is 0 meV/atom. The formation energy comes out at 0.866 eV/atom.

---

[4]
This record from Alexandria describes YCdRh2 after structural relaxation. The functional is GGA-PBE.

```
YCdRh2
1.0
-0.6478 -3.1254 1.2018
2.7130 -1.1839 -1.6167
6.3249 0.0507 3.5413
Rh Cd Y
2 1 1
Direct
0.0000 0.4899 0.5101
0.0000 0.0101 0.9899
0.5000 0.7500 0.7500
0.5000 0.2500 0.2500
```

Values from the calculation:
As for the space group: Pmmm (47). For the total energy, the calculation gives -6.026 eV per atom. The total moment comes out at 0.000 μB per atom. The formation energy comes out at -0.506 eV/atom.

---

[5]
This record from Alexandria describes La4TeAsSe2 after structural relaxation. The functional is GGA-PBE.

```
La4TeAsSe2
1.0
4.3786 0.0000 0.0000
0.0000 7.5785 -0.1499
0.0000 2.6702 7.2063
La Se As Te
4 2 1 1
Direct
0.0000 0.2383 0.2700
0.0000 0.7617 0.7300
0.5000 0.2500 0.7353
0.5000 0.7500 0.2647
0.0000 0.0000 0.0000
0.5000 0.0000 0.5000
0.0000 0.5000 0.5000
0.5000 0.5000 0.0000
```

Values from the calculation:
As for the space group: P2/m (10). For the total energy, the calculation gives -6.119 eV per atom. The total moment comes out at 0.000 μB per atom. The formation energy from raw total energies is -1.81 eV/atom.

---

[6]
This record from Alexandria describes Mn2CuPt9 after structural relaxation. The functional is GGA-PBE.

```
Mn2CuPt9
1.0
-3.4169 1.2841 1.4433
-1.0840 -3.7018 0.7272
4.7884 0.7020 10.7116
Pt Mn Cu
9 2 1
Direct
0.5000 0.0000 0.1659
0.5000 0.0000 0.5000
0.5000 0.5000 0.6671
0.0000 0.5000 0.1659
0.5000 0.0000 0.8341
0.0000 0.5000 0.8341
0.5000 0.5000 0.3329
0.0000 0.5000 0.5000
0.5000 0.5000 0.0000
0.0000 0.0000 0.3308
0.0000 0.0000 0.6692
0.0000 0.0000 0.0000
```

Values from the calculation:
As for the space group: P4/mmm (123). For the total energy, the calculation gives -6.676 eV per atom. The total moment comes out at 0.676 μB per atom. The formation energy comes out at -0.276 eV/atom.

---

[7]
This record from Alexandria describes MnSbAu2 after structural relaxation. The functional is GGA-PBE.

```
MnSbAu2
1.0
8.1025 -0.2195 -0.1298
7.4430 3.2095 -0.1298
7.4430 1.4316 2.8755
Mn Au Sb
1 2 1
Direct
0.2500 0.2500 0.2500
0.5081 0.5081 0.5081
0.9919 0.9919 0.9919
0.7500 0.7500 0.7500
```

Values from the calculation:
As for the space group: R-3m (166). For the total energy, the calculation gives -4.858 eV per atom. The total moment comes out at 1.012 μB per atom. The formation energy from raw total energies is 0.10 eV/atom.

---

[8]
This record from Alexandria describes Ho12Er6Al after structural relaxation. The functional is GGA-PBE.

```
Ho12Er6Al
1.0
8.2895 0.6827 0.8179
-0.5819 8.2972 0.8179
-0.5819 -0.6779 8.3098
Ho Er Al
12 6 1
Direct
0.2178 0.4616 0.5648
0.4352 0.7822 0.5384
0.1783 0.3615 0.0144
0.7822 0.5384 0.4352
0.5648 0.2178 0.4616
0.0144 0.1783 0.3615
0.9856 0.8217 0.6385
0.8217 0.6385 0.9856
0.4616 0.5648 0.2178
0.3615 0.0144 0.1783
0.6385 0.9856 0.8217
0.5384 0.4352 0.7822
0.0963 0.7126 0.2581
0.7126 0.2581 0.0963
0.7419 0.9037 0.2874
0.2874 0.7419 0.9037
0.9037 0.2874 0.7419
0.2581 0.0963 0.7126
0.0000 0.0000 0.0000
```

Values from the calculation:
As for the space group: R-3 (148). For the total energy, the calculation gives -4.436 eV per atom. The total moment comes out at 0.000 μB per atom. The formation energy comes out at 0.093 eV/atom.